(1)
# SrTePb | the Alexandria database | PBE | relaxed
# Raw total energy   -40.57 eV for the cell shown
# DOS at the Fermi energy   0.795 states/eV per atom
# Total moment   0.0000 μB per atom
# Formation energy from raw total energies   -537 meV/atom
data_SrTePb
_chemical_formula_sum 'Sr4 Te4 Pb4'
_cell_length_a 7.7549
_cell_length_b 7.7549
_cell_length_c 7.7549
_cell_angle_alpha 90.00
_cell_angle_beta 90.00
_cell_angle_gamma 90.00
_space_group_name_H-M_alt 'F -4 3 m'
_space_group_IT_number 216
_space_group_name_Hall 'F -4 2 3'
loop_
_atom_site_label
_atom_site_fract_x
_atom_site_fract_y
_atom_site_fract_z
Sr1 0.0000 0.0000 0.0000
Te1 0.2500 0.2500 0.2500
Pb1 0.0000 0.0000 0.5000

***

(2)
# Sr2Te2Pb | the Alexandria database | PBE | relaxed
# Raw total energy   -37.80 eV for the cell shown
# DOS at the Fermi energy   0.518 states/eV per atom
# Total moment   0.0000 μB per atom
# Formation energy from raw total energies   -1109 meV/atom
data_Sr2Te2Pb
_chemical_formula_sum 'Sr4 Te4 Pb2'
_cell_length_a 9.0273
_cell_length_b 9.0273
_cell_length_c 4.3121
_cell_angle_alpha 90.00
_cell_angle_beta 90.00
_cell_angle_gamma 90.00
_space_group_name_H-M_alt 'P 4/m b m'
_space_group_IT_number 127
_space_group_name_Hall '-P 4 2ab'
loop_
_atom_site_label
_atom_site_fract_x
_atom_site_fract_y
_atom_site_fract_z
Sr1 0.1545 0.3455 0.0000
Te1 0.1516 0.6516 0.5000
Pb1 0.0000 0.0000 0.5000

***

(3)
# Sr2TePb | the Alexandria database | PBE | relaxed
# Raw total energy   -27.47 eV for the cell shown
# DOS at the Fermi energy   0.455 states/eV per atom
# Total moment   0.0000 μB per atom
# Formation energy from raw total energies   -880 meV/atom
# Excess energy over the best structure of this formula in the dataset   119 meV/atom
data_Sr2TePb
_chemical_formula_sum 'Sr4 Te2 Pb2'
_cell_length_a 12.8934
_cell_length_b 4.1477
_cell_length_c 5.5011
_cell_angle_alpha 90.00
_cell_angle_beta 98.00
_cell_angle_gamma 90.00
_space_group_name_H-M_alt 'C 1 m 1'
_space_group_IT_number 8
_space_group_name_Hall 'C -2y'
loop_
_atom_site_label
_atom_site_fract_x
_atom_site_fract_y
_atom_site_fract_z
Sr1 0.0000 0.0000 0.0000
Sr2 0.2485 0.0000 0.4891
Te1 0.0164 0.5000 0.5137
Pb1 0.2349 0.5000 0.9767

***

(4)
# SrTePb3 | the Alexandria database | PBE | relaxed
# Raw total energy   -12.11 eV for the cell shown
# DOS at the Fermi energy   1.113 states/eV per atom
# Total moment   0.3147 μB per atom
# Formation energy from raw total energies   769 meV/atom
# Excess energy over the best structure of this formula in the dataset   650 meV/atom
data_SrTePb3
_chemical_formula_sum 'Sr1 Te1 Pb3'
_cell_length_a 6.1747
_cell_length_b 6.1747
_cell_length_c 6.1747
_cell_angle_alpha 90.00
_cell_angle_beta 90.00
_cell_angle_gamma 90.00
_space_group_name_H-M_alt 'P m -3 m'
_space_group_IT_number 221
_space_group_name_Hall '-P 4 2 3'
loop_
_atom_site_label
_atom_site_fract_x
_atom_site_fract_y
_atom_site_fract_z
Sr1 0.0000 0.0000 0.0000
Te1 0.5000 0.5000 0.5000
Pb1 0.0000 0.0000 0.5000

***

(5)
# Sr4TePb | the Alexandria database | PBE | relaxed
# Raw total energy   -54.65 eV for the cell shown
# DOS at the Fermi energy   0.627 states/eV per atom
# Total moment   0.0000 μB per atom
# Formation energy from raw total energies   -14 meV/atom
data_Sr4TePb
_chemical_formula_sum 'Sr16 Te4 Pb4'
_cell_length_a 9.9067
_cell_length_b 9.9067
_cell_length_c 9.9067
_cell_angle_alpha 90.00
_cell_angle_beta 90.00
_cell_angle_gamma 90.00
_space_group_name_H-M_alt 'F -4 3 m'
_space_group_IT_number 216
_space_group_name_Hall 'F -4 2 3'
loop_
_atom_site_label
_atom_site_fract_x
_atom_site_fract_y
_atom_site_fract_z
Sr1 0.1252 0.1252 0.1252
Te1 0.2500 0.2500 0.7500
Pb1 0.0000 0.0000 0.5000

***

(6)
# Sr3Te12Pb5 | the Alexandria database | PBE | relaxed
# Raw total energy   -569.28 eV for the cell shown
# DOS at the Fermi energy   0.777 states/eV per atom
# Total moment   0.0000 μB per atom
# Formation energy from raw total energies   -494 meV/atom
data_Sr3Te12Pb5
_chemical_formula_sum 'Sr24 Te96 Pb40'
_cell_length_a 18.6605
_cell_length_b 18.6605
_cell_length_c 18.6605
_cell_angle_alpha 90.00
_cell_angle_beta 90.00
_cell_angle_gamma 90.00
_space_group_name_H-M_alt 'I a -3 d'
_space_group_IT_number 230
_space_group_name_Hall '-I 4bd 2c 3'
loop_
_atom_site_label
_atom_site_fract_x
_atom_site_fract_y
_atom_site_fract_z
Sr1 0.0000 0.2500 0.1250
Te1 0.0176 0.0686 0.6547
Pb1 0.0000 0.0000 0.0000
Pb2 0.0000 0.2500 0.3750